A relaxed structure of HfCuAu4. Source: Alexandria via LeMat-Bulk, functional PBE-GGA.

Its relative energy among the computed polymorphs is 1.13 eV per formula unit.

```
data_HfCuAu4
_cell_length_a 6.1662
_cell_length_b 6.1677
_cell_length_c 6.4458
_cell_angle_alpha 90.00
_cell_angle_beta 90.11
_cell_angle_gamma 90.00
_space_group_name_H-M_alt 'C 1 2/m 1'
_space_group_IT_number 12
_space_group_name_Hall '-C 2y'
loop_
_atom_site_label
_atom_site_fract_x
_atom_site_fract_y
_atom_site_fract_z
Hf1 0.0000 0.0000 0.0000
Cu1 0.0000 0.5000 0.5000
Au1 0.2500 0.2504 0.2685
```

A relaxed structure of ZrTiNb4. Source: Alexandria via LeMat-Bulk, functional PBE-GGA.

Its relative energy among the computed polymorphs is 0.00 eV per formula unit.

```
data_ZrTiNb4
_cell_length_a 4.7413
_cell_length_b 4.7631
_cell_length_c 5.4857
_cell_angle_alpha 90.00
_cell_angle_beta 114.28
_cell_angle_gamma 90.00
_space_group_name_H-M_alt 'P 1 2/m 1'
_space_group_IT_number 10
_space_group_name_Hall '-P 2y'
loop_
_atom_site_label
_atom_site_fract_x
_atom_site_fract_y
_atom_site_fract_z
Zr1 0.0000 0.0000 0.0000
Ti1 0.5000 0.5000 0.0000
Nb1 0.1775 0.5000 0.3586
Nb2 0.3285 0.0000 0.6525
```

A relaxed structure of TbCoGe4. Source: Alexandria via LeMat-Bulk, functional PBE-GGA.

For the total energy, the calculation gives -5.0804 eV/atom.

```
data_TbCoGe4
_cell_length_a 4.9935
_cell_length_b 4.9935
_cell_length_c 9.8728
_cell_angle_alpha 90.00
_cell_angle_beta 90.00
_cell_angle_gamma 90.00
_space_group_name_H-M_alt 'P 42/n m c'
_space_group_IT_number 137
loop_
_space_group_symop_operation_xyz
'x,y,z'
'-x,-y,-z'
'-y+1/2,x,z+1/2'
'y+1/2,-x,-z+1/2'
'-x+1/2,-y+1/2,z'
'x+1/2,y+1/2,-z'
'y,-x+1/2,z+1/2'
'-y,x+1/2,-z+1/2'
'x+1/2,-y,-z'
'-x+1/2,y,z'
'-y,-x,-z+1/2'
'y,x,z+1/2'
'-x,y+1/2,-z'
'x,-y+1/2,z'
'y+1/2,x+1/2,-z+1/2'
'-y+1/2,-x+1/2,z+1/2'
loop_
_atom_site_label
_atom_site_fract_x
_atom_site_fract_y
_atom_site_fract_z
Tb1 0.2500 0.7500 0.2500
Co1 0.2500 0.7500 0.7500
Ge1 0.0042 0.2500 0.0584
```

A relaxed structure of DyMg2Zn6. Source: Alexandria via LeMat-Bulk, functional PBE-GGA.

Its relative energy among the computed polymorphs is 0.00 eV per formula unit.

```
data_DyMg2Zn6
_cell_length_a 7.7635
_cell_length_b 7.7635
_cell_length_c 3.1825
_cell_angle_alpha 90.00
_cell_angle_beta 90.00
_cell_angle_gamma 120.00
_space_group_name_H-M_alt 'P 6/m m m'
_space_group_IT_number 191
_space_group_name_Hall '-P 6 2'
loop_
_atom_site_label
_atom_site_fract_x
_atom_site_fract_y
_atom_site_fract_z
Dy1 0.0000 0.0000 0.0000
Mg1 0.3333 0.6667 0.0000
Zn1 0.0000 0.3375 0.5000
```

A relaxed structure of ZnAs2OsSe. Source: Alexandria via LeMat-Bulk, functional PBE-GGA.

Its relative energy among the computed polymorphs is 0.00 eV per formula unit. The calculation puts the uncorrected formation energy at 3.06 eV/f.u.

```
data_ZnAs2OsSe
_cell_length_a 4.6429
_cell_length_b 4.6429
_cell_length_c 5.5992
_cell_angle_alpha 90.00
_cell_angle_beta 90.00
_cell_angle_gamma 90.00
_space_group_name_H-M_alt 'P 4/m m m'
_space_group_IT_number 123
_space_group_name_Hall '-P 4 2'
loop_
_atom_site_label
_atom_site_fract_x
_atom_site_fract_y
_atom_site_fract_z
Zn1 0.0000 0.0000 0.0000
As1 0.0000 0.5000 0.5000
Os1 0.5000 0.5000 0.5000
Se1 0.5000 0.5000 0.0000
```

A relaxed structure of SbMoP2. Source: Alexandria via LeMat-Bulk, functional PBE-GGA.

The calculation puts the uncorrected formation energy at 1.99 eV/f.u.

```
data_SbMoP2
_cell_length_a 5.5108
_cell_length_b 7.7397
_cell_length_c 3.8896
_cell_angle_alpha 90.00
_cell_angle_beta 118.64
_cell_angle_gamma 90.00
_space_group_name_H-M_alt 'C 1 2/m 1'
_space_group_IT_number 12
_space_group_name_Hall '-C 2y'
loop_
_atom_site_label
_atom_site_fract_x
_atom_site_fract_y
_atom_site_fract_z
Sb1 0.0000 0.0000 0.0000
Mo1 0.0000 0.5000 0.0000
P1 0.2500 0.2500 0.5000
```

A relaxed structure of Ti9N4O2. Source: Alexandria via LeMat-Bulk, functional PBE-GGA.

The calculation puts the uncorrected formation energy at -25.26 eV/f.u.

```
data_Ti9N4O2
_cell_length_a 5.1987
_cell_length_b 5.1987
_cell_length_c 14.4808
_cell_angle_alpha 90.00
_cell_angle_beta 90.00
_cell_angle_gamma 120.00
_space_group_name_H-M_alt 'P -3 c 1'
_space_group_IT_number 165
_space_group_name_Hall '-P 3 2"c'
loop_
_atom_site_label
_atom_site_fract_x
_atom_site_fract_y
_atom_site_fract_z
Ti1 0.0000 0.3317 0.2500
Ti2 0.0092 0.3456 0.9175
N1 0.3333 0.6667 0.0067
N2 0.3333 0.6667 0.3259
O1 0.0000 0.0000 0.1611
```

A relaxed structure of YPSeCl2. Source: Alexandria via LeMat-Bulk, functional PBE-GGA.

Its relative energy among the computed polymorphs is 2.39 eV per formula unit. The calculation puts the uncorrected formation energy at -0.40 eV/f.u.

```
data_YPSeCl2
_cell_length_a 4.9029
_cell_length_b 4.9029
_cell_length_c 5.1261
_cell_angle_alpha 90.00
_cell_angle_beta 90.00
_cell_angle_gamma 90.00
_space_group_name_H-M_alt 'P 4/m m m'
_space_group_IT_number 123
_space_group_name_Hall '-P 4 2'
loop_
_atom_site_label
_atom_site_fract_x
_atom_site_fract_y
_atom_site_fract_z
Y1 0.0000 0.0000 0.0000
P1 0.5000 0.5000 0.0000
Se1 0.5000 0.5000 0.5000
Cl1 0.0000 0.5000 0.5000
```

A relaxed structure of Rb2SnTe4Au. Source: Alexandria via LeMat-Bulk, functional PBE-GGA.

The calculation puts the uncorrected formation energy at -3.81 eV/f.u.

```
data_Rb2SnTe4Au
_cell_length_a 7.3231
_cell_length_b 13.3120
_cell_length_c 25.5358
_cell_angle_alpha 90.00
_cell_angle_beta 90.00
_cell_angle_gamma 90.00
_space_group_name_H-M_alt 'F d d d'
_space_group_IT_number 70
loop_
_space_group_symop_operation_xyz
'x,y,z'
'-x,-y,-z'
'-x+1/4,-y+1/4,z'
'x+1/4,y+1/4,-z'
'x,-y+1/4,-z+1/4'
'-x,y+1/4,z+1/4'
'-x+1/4,y,-z+1/4'
'x+1/4,-y,z+1/4'
'x,y+1/2,z+1/2'
'-x,-y+1/2,-z+1/2'
'-x+1/4,-y+3/4,z+1/2'
'x+1/4,y+3/4,-z+1/2'
'x,-y+3/4,-z+3/4'
'-x,y+3/4,z+3/4'
'-x+1/4,y+1/2,-z+3/4'
'x+1/4,-y+1/2,z+3/4'
'x+1/2,y,z+1/2'
'-x+1/2,-y,-z+1/2'
'-x+3/4,-y+1/4,z+1/2'
'x+3/4,y+1/4,-z+1/2'
'x+1/2,-y+1/4,-z+3/4'
'-x+1/2,y+1/4,z+3/4'
'-x+3/4,y,-z+3/4'
'x+3/4,-y,z+3/4'
'x+1/2,y+1/2,z'
'-x+1/2,-y+1/2,-z'
'-x+3/4,-y+3/4,z'
'x+3/4,y+3/4,-z'
'x+1/2,-y+3/4,-z+1/4'
'-x+1/2,y+3/4,z+1/4'
'-x+3/4,y+1/2,-z+1/4'
'x+3/4,-y+1/2,z+1/4'
loop_
_atom_site_label
_atom_site_fract_x
_atom_site_fract_y
_atom_site_fract_z
Rb1 0.1250 0.1250 0.3110
Sn1 0.1250 0.1250 0.1250
Te1 0.1245 0.2731 0.8105
Au1 0.1250 0.1250 0.6250
```

A relaxed structure of AsRh2Se. Source: Alexandria via LeMat-Bulk, functional PBE-GGA.

Its relative energy among the computed polymorphs is 0.82 eV per formula unit. The calculation puts the uncorrected formation energy at -0.68 eV/f.u.

```
data_AsRh2Se
_cell_length_a 3.0867
_cell_length_b 3.0867
_cell_length_c 7.7111
_cell_angle_alpha 90.00
_cell_angle_beta 90.00
_cell_angle_gamma 90.00
_space_group_name_H-M_alt 'P 4 m m'
_space_group_IT_number 99
_space_group_name_Hall 'P 4 -2'
loop_
_atom_site_label
_atom_site_fract_x
_atom_site_fract_y
_atom_site_fract_z
As1 0.0000 0.0000 0.0000
Rh1 0.0000 0.0000 0.4264
Rh2 0.5000 0.5000 0.1639
Se1 0.5000 0.5000 0.5825
```

A relaxed structure of NaLa4Pr3Se8. Source: Alexandria via LeMat-Bulk, functional PBE-GGA.

The calculation puts the uncorrected formation energy at -30.05 eV/f.u.

```
data_NaLa4Pr3Se8
_cell_length_a 8.6050
_cell_length_b 8.6050
_cell_length_c 20.9017
_cell_angle_alpha 90.00
_cell_angle_beta 90.00
_cell_angle_gamma 120.00
_space_group_name_H-M_alt 'R -3 m'
_space_group_IT_number 166
_space_group_name_Hall '-R 3 2"'
loop_
_atom_site_label
_atom_site_fract_x
_atom_site_fract_y
_atom_site_fract_z
Na1 0.0000 0.0000 0.0000
La1 0.0000 0.0000 0.5000
La2 0.0000 0.5000 0.5000
Pr1 0.0000 0.5000 0.0000
Se1 0.0000 0.0000 0.2504
Se2 0.0031 0.5015 0.7487
```

A relaxed structure of Rb2CaPt. Source: Alexandria via LeMat-Bulk, functional PBE-GGA.

Its relative energy among the computed polymorphs is 0.00 eV per formula unit.

```
data_Rb2CaPt
_cell_length_a 12.5203
_cell_length_b 12.5203
_cell_length_c 5.4867
_cell_angle_alpha 90.00
_cell_angle_beta 90.00
_cell_angle_gamma 90.00
_space_group_name_H-M_alt 'I -4 2 d'
_space_group_IT_number 122
_space_group_name_Hall 'I -4 2bw'
loop_
_atom_site_label
_atom_site_fract_x
_atom_site_fract_y
_atom_site_fract_z
Rb1 0.1007 0.2500 0.1250
Ca1 0.0000 0.0000 0.5000
Pt1 0.0000 0.0000 0.0000
```